Density functional theory data (GGA+U) for RbFeIrO6 after structural relaxation.

Raw total energy = -5.9301 eV per atom
Crystal system = trigonal
Calculated density = 4.7 g/cm3
M_tot = 4.1 μB per cell

Unit cell a=5.2828 b=5.2828 c=6.2982 alpha=90.00 beta=90.00 gamma=120.00
Fractional positions:
1 Rb 0.0000 0.0000 0.0000
2 Fe 0.3333 0.6667 0.5000
3 Ir 0.6667 0.3333 0.5000
4 O 0.4005 0.0167 0.6720
5 O 0.4005 0.3838 0.3280
6 O 0.6162 0.0167 0.3280
7 O 0.6162 0.5995 0.6720
8 O 0.9833 0.3838 0.6720
9 O 0.9833 0.5995 0.3280